This record from the Alexandria database describes crystalline TlBH2Pd at its relaxed geometry. The functional is PBE.

As for the density: 7.6 g cm⁻³. For the total energy, the calculation gives -0.119 hartree per atom.

It has space group P4/mmm (No. 123), with a = 3.4531 Å, b = 3.4531 Å, c = 5.9395 Å, α = 90.00°, β = 90.00° and γ = 90.00°. Symmetry generates all atoms from Tl at (0.0000, 0.0000, 0.0000), B at (0.5000, 0.5000, 0.5000), H at (0.0000, 0.5000, 0.0000) and Pd at (0.0000, 0.0000, 0.5000).

This record from the Alexandria database describes crystalline YB2HPd at its relaxed geometry. The functional is PBE.

As for the density: 2.9 g cm⁻³. For the total energy, the calculation gives -0.125 hartree per atom.

It has space group P4/mmm (No. 123), with a = 4.8735 Å, b = 4.8735 Å, c = 5.2343 Å, α = 90.00°, β = 90.00° and γ = 90.00°. Symmetry generates all atoms from Y at (0.0000, 0.0000, 0.0000), B at (0.0000, 0.5000, 0.0000), H at (0.5000, 0.5000, 0.5000) and Pd at (0.0000, 0.0000, 0.5000).

This record from the Alexandria database describes crystalline Pm2BH at its relaxed geometry. The functional is PBE.

As for the density: 7.2 g cm⁻³. For the total energy, the calculation gives -0.176 hartree per atom.

It has space group P4/mmm (No. 123), with a = 3.2206 Å, b = 3.2206 Å, c = 6.7437 Å, α = 90.00°, β = 90.00° and γ = 90.00°. Symmetry generates all atoms from Pm at (0.0000, 0.0000, 0.2387), B at (0.5000, 0.5000, 0.0000) and H at (0.5000, 0.5000, 0.5000).

This record from the Alexandria database describes crystalline PmB2H8 at its relaxed geometry. The functional is PBE.

As for the density: 2.9 g cm⁻³. For the total energy, the calculation gives -0.157 hartree per atom. As for the relative energy among the computed polymorphs: 7.2 meV per atom.

It has space group C2/m (No. 12), with a = 9.3583 Å, b = 5.4904 Å, c = 4.1234 Å, α = 90.00°, β = 109.03° and γ = 90.00°. Symmetry generates all atoms from Pm at (0.0000, 0.0000, 0.0000), B at (0.2196, 0.0000, 0.6833), H at (0.1445, 0.5000, 0.1331), H at (0.1545, 0.1850, 0.7293) and H at (0.2293, 0.0000, 0.3920).

This record from the Alexandria database describes crystalline PmB2H8 at its relaxed geometry. The functional is PBE.

As for the density: 2.6 g cm⁻³. For the total energy, the calculation gives -0.157 hartree per atom. As for the relative energy among the computed polymorphs: 0.0 meV per atom.

It has space group C2/m (No. 12), with a = 9.4574 Å, b = 6.5273 Å, c = 3.9088 Å, α = 90.00°, β = 109.55° and γ = 90.00°. Symmetry generates all atoms from Pm at (0.0000, 0.0000, 0.0000), B at (0.2149, 0.0000, 0.6649), H at (0.1360, 0.1565, 0.6534), H at (0.1689, 0.5000, 0.0804) and H at (0.2466, 0.0000, 0.3850).

This record from the Alexandria database describes crystalline PmBHPt6 at its relaxed geometry. The functional is PBE.

As for the density: 15.0 g cm⁻³. For the total energy, the calculation gives -0.223 hartree per atom.

It has space group Imma (No. 74), with a = 7.4137 Å, b = 7.4513 Å, c = 10.6155 Å, α = 90.00°, β = 90.00° and γ = 90.00°. Symmetry generates all atoms from Pm at (0.0000, 0.2500, 0.1493), B at (0.2500, 0.2500, 0.7500), H at (0.0000, 0.0000, 0.5000), Pt at (0.0000, 0.2500, 0.4458), Pt at (0.0000, 0.2500, 0.8521) and Pt at (0.2064, 0.0314, 0.6258).

This record from the Alexandria database describes crystalline Pm2BHPt6 at its relaxed geometry. The functional is PBE.

As for the density: 15.2 g cm⁻³. For the total energy, the calculation gives -0.232 hartree per atom.

It has space group P-1 (No. 2), with a = 5.8338 Å, b = 5.8394 Å, c = 6.3614 Å, α = 90.03°, β = 116.79° and γ = 119.92°. Symmetry generates all atoms from Pm at (0.0271, 0.2636, 0.2947), B at (0.5000, 0.0000, 0.5000), H at (0.5000, 0.5000, 0.0000), Pt at (0.0160, 0.2580, 0.7806), Pt at (0.4762, 0.2332, 0.2224) and Pt at (0.4763, 0.7428, 0.2226).

This record from the Alexandria database describes crystalline Pm2BHRh6 at its relaxed geometry. The functional is PBE.

As for the density: 10.4 g cm⁻³. For the total energy, the calculation gives -0.257 hartree per atom.

It has space group C2/m (No. 12), with a = 8.3512 Å, b = 8.3805 Å, c = 5.9131 Å, α = 90.00°, β = 134.89° and γ = 90.00°. Symmetry generates all atoms from Pm at (0.0000, 0.2491, 0.0000), B at (0.0000, 0.0000, 0.5000), H at (0.0000, 0.5000, 0.5000), Rh at (0.0000, 0.2546, 0.5000), Rh at (0.2444, 0.5000, 0.4988) and Rh at (0.2446, 0.5000, 0.9907).